A plane-wave DFT calculation with PBE with a Hubbard U was carried out for MnTlF3 after structural relaxation.

Unit cell a=4.677 b=4.677 c=4.677 alpha=90.00 beta=90.00 gamma=90.00
Site moments in Bohr magnetons follow the coordinates.
Atoms (fractional coordinates):
Tl  0.000  0.000  0.000  -0.02
Mn  0.500  0.500  0.500  5.03
F  0.000  0.500  0.000  0.04
F  0.000  0.000  0.500  0.03
F  0.500  0.000  0.000  0.01

Results
Calculated volume: 102 Å³/f.u.
Size of the total moment: 5.83 μB per formula unit
VASP energy: -4.377 eV/atom